This record from the Alexandria database describes a relaxed Sc2CoCuC crystal. The functional is PBE.

Geometry as extended XYZ:
```
5
Lattice="-0.154 3.537 -2.857 1.209 -2.724 -3.438 -3.450 -0.689 -0.667" Properties=species:S:1:pos:R:3 pbc="T T T"
C 0.000 0.000 0.000
Sc -0.077 1.768 -1.429
Sc 0.604 -1.362 -1.719
Cu -1.198 0.062 -3.481
Co -1.725 -0.345 -0.333
```

The formation energy comes out at -0.38 eV per atom. The total magnetic moment is 0.00 Bohr magnetons per cell. The raw total energy comes out at -0.2572 Ha/atom. The space-group type is P4/mmm. Its crystal system is tetragonal. For the calculated density, the calculation gives 5.0 g/cm³.

---

This record from the Alexandria database describes a relaxed Dy6Ge2TeP3 crystal. The functional is PBE.

Geometry as extended XYZ:
```
12
Lattice="4.024 0.000 0.000 0.000 8.391 0.202 -2.012 -2.519 8.669" Properties=species:S:1:pos:R:3 pbc="T T T"
Te 2.012 0.000 0.000
Ge 0.000 1.968 2.965
Ge 2.012 3.905 5.906
P 2.012 -0.303 5.863
P 2.012 4.196 0.101
P 0.000 6.175 3.008
Dy 2.012 -0.231 8.704
Dy 2.012 4.147 2.976
Dy 0.000 6.103 0.167
Dy 0.000 6.081 5.830
Dy 2.012 -0.209 3.041
Dy 0.000 1.725 5.895
```

The total magnetic moment is 0.00 Bohr magnetons per cell. The raw total energy comes out at -0.2196 Ha/atom. The space-group type is C2/m. Its crystal system is monoclinic. For the calculated density, the calculation gives 7.6 g/cm³. As for the raw formation energy: -15.5 eV/f.u.

---

This record from the Alexandria database describes a relaxed PuCoAs crystal. The functional is PBE.

Geometry as extended XYZ:
```
6
Lattice="-2.116 -3.015 1.545 3.113 -2.449 -0.516 2.252 1.572 6.148" Properties=species:S:1:pos:R:3 pbc="T T T"
Co 4.105 -1.622 5.691
Co 1.491 -1.905 6.722
As 1.239 -4.392 1.528
As 2.104 -0.707 4.737
Pu 2.290 -3.657 4.398
Pu 1.053 -1.442 1.867
```

The formation energy comes out at -0.58 eV per atom. The total magnetic moment is 12.31 Bohr magnetons per cell. The raw total energy comes out at -0.3408 Ha/atom. The space-group type is P4/nmm. Its crystal system is tetragonal. For the calculated density, the calculation gives 11.7 g/cm³.

---

This record from the Alexandria database describes a relaxed Al2GeS crystal. The functional is PBE.

Geometry as extended XYZ:
```
4
Lattice="0.000 3.232 3.232 3.232 0.000 3.232 3.232 3.232 0.000" Properties=species:S:1:pos:R:3 pbc="T T T"
Al 4.848 4.848 4.848
Al 1.616 1.616 1.616
S 0.000 0.000 0.000
Ge 3.232 3.232 3.232
```

The total magnetic moment is 0.00 Bohr magnetons per cell. The raw total energy comes out at -0.1435 Ha/atom. The space-group type is Fm-3m. The calculation puts the energy above the lowest structure with this stoichiometry at 206 kJ/mol of formula units. Its crystal system is cubic. For the calculated density, the calculation gives 3.9 g/cm³. As for the raw formation energy: 0.6 eV/f.u.

---

This record from the Alexandria database describes a relaxed Ba2InPb crystal. The functional is PBE.

Geometry as extended XYZ:
```
4
Lattice="6.976 0.012 0.035 5.479 4.319 0.035 2.286 0.795 5.142" Properties=species:S:1:pos:R:3 pbc="T T T"
Ba 3.477 1.209 1.407
Ba 2.493 0.867 5.039
In 6.972 2.424 2.802
Pb 11.456 3.983 3.712
```

The formation energy comes out at -0.44 eV per atom. The total magnetic moment is 0.00 Bohr magnetons per cell. The raw total energy comes out at -0.1107 Ha/atom. The space-group type is Cm. The calculation puts the energy above the lowest structure with this stoichiometry at 26 kJ/mol of formula units. Its crystal system is monoclinic. For the calculated density, the calculation gives 6.4 g/cm³.

---

This record from the Alexandria database describes a relaxed TlH3Pd crystal. The functional is PBE.

Geometry as extended XYZ:
```
5
Lattice="3.930 0.000 0.000 0.000 3.930 0.000 0.000 0.000 3.930" Properties=species:S:1:pos:R:3 pbc="T T T"
Tl 0.000 0.000 0.000
H 1.965 0.000 0.000
H 0.000 0.000 1.965
H 0.000 1.965 0.000
Pd 1.965 1.965 1.965
```

The total magnetic moment is 0.00 Bohr magnetons per cell. The raw total energy comes out at -0.0978 Ha/atom. The space-group type is Pm-3m. The calculation puts the energy above the lowest structure with this stoichiometry at 344 kJ/mol of formula units. Its crystal system is cubic. For the calculated density, the calculation gives 8.6 g/cm³.

---

This record from the Alexandria database describes a relaxed MgTi2GaBr crystal. The functional is PBE.

Geometry as extended XYZ:
```
5
Lattice="-3.043 3.388 -1.713 -0.476 -2.808 -4.706 -3.773 -2.456 1.847" Properties=species:S:1:pos:R:3 pbc="T T T"
Mg -3.646 -0.938 -2.287
Ti -1.522 1.694 -0.857
Ti -1.887 -1.228 0.923
Br -0.238 -1.404 -2.353
Ga 0.000 0.000 0.000
```

The total magnetic moment is 0.00 Bohr magnetons per cell. The raw total energy comes out at -0.1362 Ha/atom. The space-group type is P4/mmm. Its crystal system is tetragonal. For the calculated density, the calculation gives 3.4 g/cm³. As for the raw formation energy: 3.6 eV/f.u.

---

This record from the Alexandria database describes a relaxed NdSm2Tm8 crystal. The functional is PBE.

Geometry as extended XYZ:
```
11
Lattice="5.207 0.000 -1.581 -0.982 7.274 -3.235 -0.003 -0.264 9.351" Properties=species:S:1:pos:R:3 pbc="T T T"
Sm 3.869 2.025 3.377
Sm 0.353 4.985 1.158
Tm 1.723 0.917 5.674
Tm 2.908 3.068 0.207
Tm 2.499 6.093 -1.138
Tm 3.540 5.919 2.290
Tm 4.916 1.870 6.822
Tm 0.682 1.091 2.246
Tm 1.315 3.942 4.329
Tm -0.694 5.140 -2.286
Nd 2.604 0.000 -0.790
```

The formation energy comes out at 0.12 eV per atom. The total magnetic moment is 0.00 Bohr magnetons per cell. The raw total energy comes out at -0.1627 Ha/atom. The space-group type is Immm. The calculation puts the energy above the lowest structure with this stoichiometry at 94 kJ/mol of formula units. Its crystal system is orthorhombic. For the calculated density, the calculation gives 8.5 g/cm³.

---

This record from the Alexandria database describes a relaxed Cd4SbPb crystal. The functional is PBE.

Geometry as extended XYZ:
```
6
Lattice="0.000 4.237 4.237 4.237 0.000 4.237 4.237 4.237 0.000" Properties=species:S:1:pos:R:3 pbc="T T T"
Cd 3.179 5.295 5.295
Cd 5.295 3.179 5.295
Cd 3.179 3.179 3.179
Cd 5.295 5.295 3.179
Sb 0.000 0.000 0.000
Pb 6.355 6.355 6.355
```

The total magnetic moment is 0.00 Bohr magnetons per cell. The raw total energy comes out at -0.0666 Ha/atom. The space-group type is F-43m. Its crystal system is cubic. For the calculated density, the calculation gives 8.5 g/cm³. As for the raw formation energy: 0.6 eV/f.u.

---

This record from the Alexandria database describes a relaxed Ag2Te2Se crystal. The functional is PBE.

Geometry as extended XYZ:
```
10
Lattice="7.514 0.000 0.000 0.000 7.514 0.000 0.000 0.000 4.465" Properties=species:S:1:pos:R:3 pbc="T T T"
Ag 6.329 4.942 0.000
Ag 2.572 6.329 0.000
Ag 1.185 2.572 0.000
Ag 4.942 1.185 0.000
Te 6.511 2.754 2.233
Te 1.003 4.760 2.233
Te 2.754 1.003 2.233
Te 4.760 6.511 2.233
Se 0.000 0.000 0.000
Se 3.757 3.757 0.000
```

The total magnetic moment is 0.00 Bohr magnetons per cell. The raw total energy comes out at -0.1035 Ha/atom. The space-group type is P4/mbm. The calculation puts the energy above the lowest structure with this stoichiometry at 125 kJ/mol of formula units. Its crystal system is tetragonal. For the calculated density, the calculation gives 7.2 g/cm³. As for the raw formation energy: 1.4 eV/f.u.

---

This record from the Alexandria database describes a relaxed TlBi3Pb crystal. The functional is PBE.

Geometry as extended XYZ:
```
10
Lattice="5.579 0.000 0.000 0.000 3.393 0.000 0.000 -1.696 17.062" Properties=species:S:1:pos:R:3 pbc="T T T"
Bi 4.184 0.000 11.109
Bi 1.395 1.696 5.952
Bi 4.184 1.696 0.855
Bi 4.184 1.696 4.244
Bi 1.395 0.000 16.207
Bi 1.395 0.000 12.817
Pb 1.395 1.696 9.373
Pb 4.184 0.000 7.689
Tl 4.184 1.696 14.492
Tl 1.395 0.000 2.569
```

The formation energy comes out at 0.00 eV per atom. The total magnetic moment is 0.00 Bohr magnetons per cell. The raw total energy comes out at -0.1301 Ha/atom. The space-group type is Cmcm. The calculation puts the energy above the lowest structure with this stoichiometry at 0 kJ/mol of formula units. Its crystal system is orthorhombic. For the calculated density, the calculation gives 10.7 g/cm³.

---

This record from the Alexandria database describes a relaxed Mg2AlCrBr crystal. The functional is PBE.

Geometry as extended XYZ:
```
5
Lattice="5.071 0.000 0.000 0.000 4.425 0.000 0.000 0.000 5.071" Properties=species:S:1:pos:R:3 pbc="T T T"
Cr 0.000 2.212 0.000
Mg 0.000 0.000 2.535
Mg 2.535 0.000 0.000
Al 2.535 2.212 2.535
Br 0.000 0.000 0.000
```

The total magnetic moment is 0.16 Bohr magnetons per cell. The raw total energy comes out at -0.1002 Ha/atom. The space-group type is P4/mmm. Its crystal system is tetragonal. For the calculated density, the calculation gives 3.0 g/cm³. As for the raw formation energy: 4.6 eV/f.u.